# 1
Computed, not measured: crystalline AlTc2Pt at its relaxed geometry at the PBE level of DFT.

Calculated values
calculated total energy = -32.106 eV per cell
energy of formation = -398 meV/atom
SG = P4mm, No. 99

Geometry as POSCAR:
```
AlTc2Pt
1.0
2.8702 0.0000 0.0000
0.0000 2.8702 0.0000
0.0000 0.0000 7.1108
Al Tc Pt
1 2 1
direct
0.0000 0.0000 0.0000 Al
0.0000 0.0000 0.5257 Tc
0.5000 0.5000 0.7566 Tc
0.5000 0.5000 0.2338 Pt
```

***

# 2
Computed, not measured: crystalline AlTcPt2 at its relaxed geometry at the PBE level of DFT.

Calculated values
calculated total energy = -28.197 eV per cell
energy of formation = -502 meV/atom
SG = P4/mmm, No. 123

Geometry as POSCAR:
```
AlTcPt2
1.0
2.7775 0.0000 0.0000
0.0000 2.7775 0.0000
0.0000 0.0000 7.6551
Al Tc Pt
1 1 2
direct
0.0000 0.0000 0.0000 Al
0.0000 0.0000 0.5000 Tc
0.5000 0.5000 0.2384 Pt
0.5000 0.5000 0.7616 Pt
```

***

# 3
Computed, not measured: crystalline AlTc2Pt at its relaxed geometry at the PBE level of DFT.

Calculated values
calculated total energy = -30.744 eV per cell
energy of formation = -57 meV/atom
SG = Fm-3m, No. 225

Geometry as POSCAR:
```
AlTc2Pt
1.0
0.0000 3.0968 3.0968
3.0968 0.0000 3.0968
3.0968 3.0968 0.0000
Al Tc Pt
1 2 1
direct
0.0000 0.0000 0.0000 Al
0.2500 0.2500 0.2500 Tc
0.7500 0.7500 0.7500 Tc
0.5000 0.5000 0.5000 Pt
```